Entry 1:
Entry from the Alexandria database: Al2OsCl after structural relaxation (GGA-PBE).

Cell and atoms, written as extended XYZ:
```
4
Lattice="8.500 -0.007 -0.006 7.301 4.353 0.006 -7.857 -2.332 2.255" Properties=species:S:1:pos:R:3 pbc="T T T"
Al 1.192 0.328 0.000
Al 4.337 -0.065 1.124
Os 2.768 1.848 1.131
Cl 7.548 2.076 0.000
```

Calculated values
- formation energy without anion corrections (eV per atom) = -0.148
- excess energy over the best structure of this formula in the dataset (meV/atom) = 328.2
- E (eV/atom) = -5.29
- Fermi-level density of states (states/eV/f.u.) = 1.0
- space-group type = Imm2



Entry 2:
Entry from the Alexandria database: AsPb3Se2 after structural relaxation (GGA-PBE).

Cell and atoms, written as extended XYZ:
```
6
Lattice="4.202 -0.002 -0.957 -0.220 4.196 -0.958 0.029 0.032 9.822" Properties=species:S:1:pos:R:3 pbc="T T T"
Se 3.072 3.241 3.836
Se 0.409 0.436 1.845
Pb 1.095 1.160 4.858
Pb 2.385 2.517 0.823
Pb 3.745 3.953 6.794
As 1.754 1.856 7.751
```

Calculated values
- formation energy without anion corrections (eV per atom) = -0.323
- E (eV/atom) = -4.11
- Fermi-level density of states (states/eV/f.u.) = 4.0
- space-group type = I4/mmm



Entry 3:
Entry from the Alexandria database: ZnFeTc after structural relaxation (GGA-PBE).

Cell and atoms, written as extended XYZ:
```
3
Lattice="3.955 0.000 0.000 1.977 3.425 0.000 1.977 1.142 3.229" Properties=species:S:1:pos:R:3 pbc="T T T"
Zn 3.955 2.283 1.614
Tc 0.000 0.000 0.000
Fe 5.932 3.425 2.422
```

Calculated values
- excess energy over the best structure of this formula in the dataset (meV/atom) = 278.0
- E (eV/atom) = -6.37
- Fermi-level density of states (states/eV/f.u.) = 1.4
- formation enthalpy at 0 K (eV/atom) = 0.335
- space-group type = F-43m



Entry 4:
Entry from the Alexandria database: PuNp2PaSe4 after structural relaxation (GGA-PBE).

Cell and atoms, written as extended XYZ:
```
8
Lattice="-2.764 -2.895 -0.714 5.117 -4.337 -2.226 -0.908 -0.859 7.002" Properties=species:S:1:pos:R:3 pbc="T T T"
Np 2.104 -2.598 2.388
Np -1.836 -1.877 3.144
Se -0.325 -2.753 0.845
Se 1.770 -5.338 3.219
Se 3.611 -3.473 0.101
Se 0.598 -1.723 4.676
Pa 1.177 -3.616 -1.470
Pu 0.000 0.000 0.000
```

Calculated values
- formation energy without anion corrections (eV per atom) = -1.221
- E (eV/atom) = -9.18
- Fermi-level density of states (states/eV/f.u.) = 21.9
- space-group type = P2/m



Entry 5:
Entry from the Alexandria database: Cs3Cr2Br8 after structural relaxation (GGA-PBE).

Cell and atoms, written as extended XYZ:
```
13
Lattice="2.273 7.311 -1.982 -2.829 5.601 4.813 7.196 4.480 6.530" Properties=species:S:1:pos:R:3 pbc="T T T"
Br 2.630 10.364 4.582
Br 3.275 9.479 7.900
Br 6.555 8.355 7.024
Br 4.010 7.027 4.778
Br 0.544 6.968 5.218
Br 6.096 10.424 4.143
Br 3.365 7.913 1.461
Br 0.085 9.036 2.336
Cs 0.000 0.000 0.000
Cs 2.266 4.101 2.732
Cs 4.375 13.291 6.628
Cr 4.612 9.276 5.796
Cr 2.028 8.115 3.564
```

Calculated values
- formation energy without anion corrections (eV per atom) = -1.185
- E (eV/atom) = -3.89
- Fermi-level density of states (states/eV/f.u.) = 3.7
- space-group type = C2/m



Entry 6:
Entry from the Alexandria database: NaMgScTe3 after structural relaxation (GGA-PBE).

Cell and atoms, written as extended XYZ:
```
12
Lattice="4.358 0.000 0.000 0.000 8.721 -0.827 0.000 -3.198 11.213" Properties=species:S:1:pos:R:3 pbc="T T T"
Na 3.268 4.334 8.840
Na 1.089 1.189 1.546
Te 3.268 7.545 0.917
Te 1.089 -2.022 9.469
Te 3.268 3.471 1.077
Te 1.089 5.205 4.082
Te 1.089 2.053 9.309
Te 3.268 0.319 6.304
Sc 3.268 0.072 9.378
Sc 1.089 5.452 1.008
Mg 3.268 6.883 3.602
Mg 1.089 -1.360 6.784
```

Calculated values
- formation energy without anion corrections (eV per atom) = -1.024
- E (eV/atom) = -4.14
- space-group type = P2_1/m



Entry 7:
Entry from the Alexandria database: LiCuAs2Se4 after structural relaxation (GGA-PBE).

Cell and atoms, written as extended XYZ:
```
8
Lattice="6.360 0.037 0.000 -0.491 6.341 0.000 -2.935 -3.189 4.824" Properties=species:S:1:pos:R:3 pbc="T T T"
Se 1.322 4.673 1.143
Se 4.547 1.705 1.143
Se -1.401 -1.523 3.563
Se 1.401 1.523 3.563
Li 0.000 0.000 0.079
As 3.180 0.018 2.484
As -0.245 3.171 2.484
Cu 2.935 3.189 0.016
```

Calculated values
- formation energy without anion corrections (eV per atom) = -0.252
- E (eV/atom) = -3.91
- Fermi-level density of states (states/eV/f.u.) = 2.0
- space-group type = Fmm2



Entry 8:
Entry from the Alexandria database: CsTl3Ag3 after structural relaxation (GGA-PBE).

Cell and atoms, written as extended XYZ:
```
14
Lattice="-1.649 5.180 -5.896 5.080 -3.888 -4.837 -5.983 -4.729 -2.482" Properties=species:S:1:pos:R:3 pbc="T T T"
Tl 2.128 -0.649 -3.892
Tl -5.311 -0.957 -4.809
Tl 1.303 1.941 -6.840
Tl -2.320 1.408 -3.568
Tl -1.721 -3.336 -2.450
Tl 0.819 -5.280 -4.868
Ag 1.044 -3.126 -3.039
Ag -4.228 1.521 -5.663
Ag -3.403 -1.069 -2.715
Ag 2.985 -0.326 -6.575
Ag 0.446 1.618 -4.157
Ag -1.947 -5.491 -4.280
Cs 0.000 0.000 0.000
Cs -1.276 -1.718 -6.607
```

Calculated values
- E (eV/atom) = -2.18
- Fermi-level density of states (states/eV/f.u.) = 4.4
- formation enthalpy at 0 K (eV/atom) = 0.181
- space-group type = Pm-3n



Entry 9:
Entry from the Alexandria database: GaRu3I after structural relaxation (GGA-PBE).

Cell and atoms, written as extended XYZ:
```
5
Lattice="4.609 0.000 0.000 0.000 4.609 0.000 0.000 0.000 4.609" Properties=species:S:1:pos:R:3 pbc="T T T"
Ru 0.000 0.000 2.304
Ru 2.304 0.000 0.000
Ru 0.000 2.304 0.000
I 2.304 2.304 2.304
Ga 0.000 0.000 0.000
```

Calculated values
- formation energy without anion corrections (eV per atom) = 1.418
- excess energy over the best structure of this formula in the dataset (meV/atom) = 0.0
- E (eV/atom) = -5.06
- Fermi-level density of states (states/eV/f.u.) = 9.3
- space-group type = Pm-3m



Entry 10:
Entry from the Alexandria database: La3PrSn3 after structural relaxation (GGA-PBE).

Cell and atoms, written as extended XYZ:
```
14
Lattice="-2.437 0.642 5.829 -8.989 0.601 -3.824 3.682 -8.717 2.499" Properties=species:S:1:pos:R:3 pbc="T T T"
La -8.177 -4.916 2.312
La -8.070 0.796 1.727
La -4.212 -5.524 0.577
La -3.532 -1.951 3.927
La 0.326 -8.270 2.777
La 0.433 -2.558 2.192
Sn -2.676 -8.073 1.500
Sn -9.410 -2.006 1.476
Sn -2.443 -2.811 1.018
Sn 1.666 -5.468 3.028
Sn -5.302 -4.664 3.486
Sn -5.068 0.599 3.004
Pr -2.369 -5.130 4.763
Pr -5.375 -2.345 -0.259
```

Calculated values
- E (eV/atom) = -5.02
- Fermi-level density of states (states/eV/f.u.) = 1.7
- formation enthalpy at 0 K (eV/atom) = -0.511
- space-group type = P6_3/m



Entry 11:
Entry from the Alexandria database: Sb2Rh after structural relaxation (GGA-PBE).

Cell and atoms, written as extended XYZ:
```
9
Lattice="0.829 7.364 0.181 -2.346 -3.315 -6.202 -3.812 0.399 1.229" Properties=species:S:1:pos:R:3 pbc="T T T"
Rh -1.906 0.199 0.614
Rh -1.288 0.245 -4.074
Rh -0.229 3.804 -1.947
Sb -1.111 2.966 -4.411
Sb -3.316 -1.794 -3.114
Sb 0.222 1.970 0.048
Sb -1.407 4.627 0.723
Sb -2.511 1.814 -1.786
Sb -0.627 -0.887 -1.659
```

Calculated values
- formation energy without anion corrections (eV per atom) = -0.170
- E (eV/atom) = -5.37
- Fermi-level density of states (states/eV/f.u.) = 2.3
- space-group type = P-62m



Entry 12:
Entry from the Alexandria database: GdErZnIr after structural relaxation (GGA-PBE).

Cell and atoms, written as extended XYZ:
```
4
Lattice="-3.181 -1.631 3.395 -3.783 -2.862 -1.340 -0.045 -4.769 1.246" Properties=species:S:1:pos:R:3 pbc="T T T"
Zn -5.257 -6.947 2.475
Ir -1.752 -2.316 0.825
Er 0.000 0.000 0.000
Gd -3.504 -4.631 1.650
```

Calculated values
- E (eV/atom) = -7.82
- Fermi-level density of states (states/eV/f.u.) = 2.7
- formation enthalpy at 0 K (eV/atom) = -0.623
- space-group type = F-43m



Look up the E of the third one. -6.37 eV/atom